A relaxed structure of Co3NiPd, computed with PBE.

As for the electronic total energy: -6.34 eV/atom. For the formation energy, the calculation gives 119 meV/atom. As for the energy above the lowest structure with this stoichiometry: 0.02 eV/f.u.

Cell lengths 4.2254, 11.4558, 5.0304 Å; angles 90.00, 90.00, 90.00 degrees
Last column: nearest neighbours and their distance in Å.
Space group Cmcm (No. 63)
Unique sites:
Co 0.0000 0.0093 0.2500 x4  6 Co 2.42-2.62, 2 Ni 2.49, 2 Pd 2.50
Co 0.0000 0.1905 0.0031 x8  6 Co 2.42-2.62, 3 Ni 2.48-2.57, 3 Pd 2.63-2.65
Ni 0.0000 0.3759 0.7500 x4  8 Co 2.48-2.57, 3 Pd 2.52-2.65
Pd 0.0000 0.3932 0.2500 x4  8 Co 2.50-2.65, 3 Ni 2.52-2.65

A relaxed structure of CoNi2Pd, computed with PBE.

As for the electronic total energy: -5.94 eV/atom. For the formation energy, the calculation gives 21 meV/atom. As for the energy above the lowest structure with this stoichiometry: 0.00 eV/f.u.

Cell lengths 2.5973, 2.5973, 7.1871 Å; angles 90.00, 90.00, 90.00 degrees
Last column: nearest neighbours and their distance in Å.
Space group P4/mmm (No. 123)
Unique sites:
Co 0.0000 0.0000 0.0000 x1  8 Ni 2.47, 4 Co 2.60
Ni 0.5000 0.5000 0.2293 x2  4 Co 2.47, 4 Ni 2.60, 4 Pd 2.68
Pd 0.0000 0.0000 0.5000 x1  4 Pd 2.60, 8 Ni 2.68

A relaxed structure of Co3NiPd, computed with PBE.

As for the electronic total energy: -5.42 eV/atom. For the formation energy, the calculation gives 1040 meV/atom. As for the energy above the lowest structure with this stoichiometry: 4.62 eV/f.u.

Cell lengths 4.2314, 4.2314, 4.2314 Å; angles 90.00, 90.00, 90.00 degrees
Last column: nearest neighbours and their distance in Å.
Space group Pm-3m (No. 221)
Unique sites:
Co 0.0000 0.0000 0.5000 x3  2 Ni 2.12
Ni 0.0000 0.0000 0.0000 x1  6 Co 2.12
Pd 0.5000 0.5000 0.5000 x1  12 Co 2.99

A relaxed structure of Co6Ni2Pd, computed with PBE.

As for the electronic total energy: -6.49 eV/atom. For the formation energy, the calculation gives 108 meV/atom.

Cell lengths 6.3972, 6.9781, 4.7481 Å; angles 90.00, 97.09, 90.00 degrees
Last column: nearest neighbours and their distance in Å.
Space group C2/m (No. 12)
Unique sites:
Co 0.0000 0.1697 0.0000 x4  5 Co 2.30-2.49
Co 0.1651 0.3347 0.6699 x8  5 Co 2.30-2.49
Ni 0.1606 0.5000 0.1605 x4  1 Ni 2.40, 1 Pd 2.54, 12 Co 2.59-2.68
Pd 0.0000 0.0000 0.5000 x2  2 Ni 2.54, 12 Co 2.65

A relaxed structure of Co4NiPd, computed with PBE.

As for the electronic total energy: -6.01 eV/atom. For the formation energy, the calculation gives 554 meV/atom. As for the energy above the lowest structure with this stoichiometry: 2.41 eV/f.u.

Cell lengths 4.6372, 7.6450, 4.6924 Å; angles 90.00, 90.00, 90.00 degrees
Last column: nearest neighbours and their distance in Å.
Space group Cmmm (No. 65)
Unique sites:
Co 0.2500 0.2500 0.2425 x8  4 Co 2.28-2.42, 2 Ni 2.51, 2 Pd 2.54
Ni 0.0000 0.0000 0.0000 x2  8 Co 2.51
Pd 0.0000 0.5000 0.5000 x2  8 Co 2.54

A relaxed structure of Co4Ni4Pd, computed with PBE.

As for the electronic total energy: -6.20 eV/atom. For the formation energy, the calculation gives 104 meV/atom.

Cell lengths 11.8060, 4.1287, 4.4419 Å; angles 90.00, 104.40, 90.00 degrees
Last column: nearest neighbours and their distance in Å.
Space group C2/m (No. 12)
Unique sites:
Co 0.1512 0.0000 0.2989 x4  6 Ni 2.41-2.51, 4 Co 2.45-2.67
Co 0.2349 0.5000 0.1499 x4  3 Ni 2.36-2.51, 5 Co 2.45-2.53
Ni 0.0593 0.0000 0.7511 x4  3 Ni 2.32-2.43, 4 Co 2.36-2.51, 2 Pd 2.52
Ni 0.1338 0.5000 0.5856 x4  2 Ni 2.43, 7 Co 2.46-2.67, 2 Pd 2.69-2.71
Pd 0.0000 0.5000 0.0000 x2  8 Ni 2.52-2.71, 2 Co 2.69

Which of these has the highest electronic total energy?
number 3